(1)
RbTaTe2I after structural relaxation, computed with PBE.

a = 5.463 Å, b = 5.463 Å, c = 6.040 Å
α = 90.00°, β = 90.00°, γ = 90.00°
Space group P4/mmm (No. 123)
Asymmetric unit:
Rb 0.000 0.000 0.000 [1 per cell]
Ta 0.500 0.500 0.500 [1 per cell]
Te 0.000 0.500 0.500 [2 per cell]
I 0.500 0.500 0.000 [1 per cell]

Computed properties:
Size of the total moment ... 0.76 μB per formula unit
DFT total energy ... -4.50 eV per atom
Energy above the most stable polymorph in this dataset ... 0.000 eV/atom
ΔE_f (raw) ... -1.856 eV/f.u.

---

(2)
RbTaTeI2 after structural relaxation, computed with PBE.

a = 5.924 Å, b = 5.924 Å, c = 5.416 Å
α = 90.00°, β = 90.00°, γ = 90.00°
Space group P4/mmm (No. 123)
Asymmetric unit:
Rb 0.000 0.000 0.000 [1 per cell]
Ta 0.500 0.500 0.500 [1 per cell]
Te 0.500 0.500 0.000 [1 per cell]
I 0.000 0.500 0.500 [2 per cell]

Computed properties:
Size of the total moment ... 1.88 μB per formula unit
DFT total energy ... -4.17 eV per atom
Energy above the most stable polymorph in this dataset ... 0.000 eV/atom
ΔE_f (raw) ... -1.764 eV/f.u.

---

(3)
Rb2TaTiI6 after structural relaxation, computed with PBE.

a = 8.175 Å, b = 8.175 Å, c = 11.554 Å
α = 90.00°, β = 90.00°, γ = 90.00°
Space group I4/mmm (No. 139)
Asymmetric unit:
Rb 0.000 0.500 0.250 [4 per cell]
Ta 0.000 0.000 0.000 [2 per cell]
Ti 0.000 0.000 0.500 [2 per cell]
I 0.000 0.000 0.248 [4 per cell]
I 0.248 0.248 0.000 [8 per cell]

Computed properties:
Size of the total moment ... 0.36 μB per formula unit
DFT total energy ... -3.70 eV per atom
ΔE_f (raw) ... -6.053 eV/f.u.

---

(4)
Rb2TaVI6 after structural relaxation, computed with PBE.

a = 11.603 Å, b = 11.603 Å, c = 11.603 Å
α = 90.00°, β = 90.00°, γ = 90.00°
Space group Fm-3m (No. 225)
Asymmetric unit:
Rb 0.250 0.250 0.250 [8 per cell]
Ta 0.000 0.000 0.000 [4 per cell]
V 0.000 0.000 0.500 [4 per cell]
I 0.000 0.000 0.249 [24 per cell]

Computed properties:
Size of the total moment ... 6.00 μB per formula unit
DFT total energy ... -3.75 eV per atom
ΔE_f (raw) ... -5.266 eV/f.u.

---

(5)
Rb2TaWI6 after structural relaxation, computed with PBE.

a = 8.280 Å, b = 8.280 Å, c = 11.674 Å
α = 90.00°, β = 90.00°, γ = 90.00°
Space group I4/mmm (No. 139)
Asymmetric unit:
Rb 0.000 0.500 0.250 [4 per cell]
Ta 0.000 0.000 0.000 [2 per cell]
W 0.000 0.000 0.500 [2 per cell]
I 0.000 0.000 0.250 [4 per cell]
I 0.250 0.250 0.000 [8 per cell]

Computed properties:
Size of the total moment ... 7.00 μB per formula unit
DFT total energy ... -3.76 eV per atom
ΔE_f (raw) ... -1.598 eV/f.u.

---

(6)
Rb2YTaI6 after structural relaxation, computed with PBE.

a = 11.801 Å, b = 11.801 Å, c = 11.801 Å
α = 90.00°, β = 90.00°, γ = 90.00°
Space group Fm-3m (No. 225)
Asymmetric unit:
Rb 0.250 0.250 0.250 [8 per cell]
Y 0.000 0.000 0.000 [4 per cell]
Ta 0.000 0.000 0.500 [4 per cell]
I 0.000 0.000 0.257 [24 per cell]

Computed properties:
Size of the total moment ... 2.00 μB per formula unit
DFT total energy ... -3.73 eV per atom
ΔE_f (raw) ... -7.793 eV/f.u.

---

(7)
Rb2TaZnI6 after structural relaxation, computed with PBE.

a = 12.174 Å, b = 12.174 Å, c = 12.174 Å
α = 90.00°, β = 90.00°, γ = 90.00°
Space group Fm-3m (No. 225)
Asymmetric unit:
Rb 0.250 0.250 0.250 [8 per cell]
Ta 0.000 0.000 0.000 [4 per cell]
Zn 0.000 0.000 0.500 [4 per cell]
I 0.000 0.000 0.231 [24 per cell]

Computed properties:
Size of the total moment ... 1.00 μB per formula unit
DFT total energy ... -3.09 eV per atom
ΔE_f (raw) ... -6.551 eV/f.u.

---

(8)
Rb2TbI5 after structural relaxation, computed with PBE.

a = 14.831 Å, b = 9.936 Å, c = 9.571 Å
α = 90.00°, β = 90.00°, γ = 90.00°
Space group Pnma (No. 62)
Asymmetric unit:
Rb 0.169 0.011 0.090 [8 per cell]
Tb 0.006 0.250 0.576 [4 per cell]
I 0.013 0.250 0.907 [4 per cell]
I 0.058 0.549 0.669 [8 per cell]
I 0.187 0.250 0.414 [4 per cell]
I 0.197 0.750 0.365 [4 per cell]

Computed properties:
Size of the total moment ... 0.00 μB per formula unit
DFT total energy ... -3.24 eV per atom
Energy above the most stable polymorph in this dataset ... 0.000 eV/atom
ΔE_f (raw) ... -11.600 eV/f.u.